Here is an optimized crystal structure of HgIrBr2 from Alexandria. Energies are from PBE.

Output
- total DFT energy (no corrections) (eV/atom) = -2.899
- formation energy without anion corrections (meV per atom) = 228.1
- calculated volume (Å³/f.u.) = 138.73
- N(E_F) (states/eV/atom) = 0.655

Cell and atoms, written as CIF:
```
data_HgIrBr2
_symmetry_space_group_name_H-M 'P 1'
_symmetry_Int_Tables_number 1
_cell_length_a 4.082
_cell_length_b 4.082
_cell_length_c 10.387
_cell_angle_alpha 90.00
_cell_angle_beta 90.00
_cell_angle_gamma 126.74
loop_
_symmetry_equiv_pos_as_xyz
'x,y,z'
loop_
_atom_site_label
_atom_site_type_symbol
_atom_site_fract_x
_atom_site_fract_y
_atom_site_fract_z
Ir1 Ir 0.500 0.500 0.750
Hg1 Hg 0.500 0.500 0.250
Br1 Br 0.000 0.000 0.907
Br2 Br 0.000 0.000 0.593
```